This record from the Alexandria database describes a geometry-optimized FeRuRh2 structure. The functional is PBE.

a = 8.913 Å, b = 2.693 Å, c = 4.619 Å
α = 90.00°, β = 100.54°, γ = 90.00°
Space group C2/m (No. 12)
Asymmetric unit:
Fe1 0.000 0.000 0.000 x2
Ru1 0.000 0.500 0.500 x2
Rh1 0.248 0.500 0.248 x4

## Properties
ρ: 11.1 g/cm3
energy relative to the elements: 37 meV/atom